Computed, not measured: a relaxed structure of K2VGeF6 at the PBE with a Hubbard U level of DFT.

Cell lengths 6.0471, 6.0702, 6.0947 Å; angles 60.26, 60.88, 60.61 degrees
Last column: nearest neighbours and their distance in Å.
Atoms (fractional coordinates):
K 0.2482 0.2465 0.2566  6 F 2.72-2.96
K 0.7518 0.7535 0.7434  6 F 2.72-2.96
V 0.5000 0.5000 0.5000  6 F 2.12-2.13
Ge 0.0000 0.0000 0.0000  6 F 2.24
F 0.2051 0.3083 0.7114  1 V 2.12, 1 Ge 2.24
F 0.2433 0.7816 0.7060  1 V 2.13, 1 Ge 2.24
F 0.3206 0.7591 0.1940  1 V 2.12, 1 Ge 2.24
F 0.6794 0.2409 0.8060  1 V 2.12, 1 Ge 2.24
F 0.7567 0.2184 0.2940  1 V 2.13, 1 Ge 2.24
F 0.7949 0.6917 0.2886  1 V 2.12, 1 Ge 2.24

Values from the calculation:
**Uncorrected energy**: -51.04 eV per cell
**Symmetry**: P-1 (2)